Entry 1:
Below is a relaxed structure of CaZr2CuSi, with properties calculated at the GGA-PBE level.

magnetic moment = 0.0 μB/f.u.
formation energy from raw total energies = 1.722 eV/atom
E = -20.01 eV/cell

abc: 4.959 4.959 5.027
angles: 90.00 90.00 90.00
Space group P4/mmm (No. 123)
Asymmetric unit:
Ca 0.000 0.000 0.000 x1
Zr 0.000 0.500 0.000 x2
Cu 0.500 0.500 0.500 x1
Si 0.000 0.000 0.500 x1

=====

Entry 2:
Below is a relaxed structure of SrSiCl, with properties calculated at the GGA-PBE level.

magnetic moment = 0.0 μB/f.u.
formation energy from raw total energies = -1.338 eV/atom
E = -51.86 eV/cell

abc: 7.220 4.164 11.770
angles: 90.00 101.57 90.00
Space group C2/m (No. 12)
Asymmetric unit:
Sr 0.070 0.000 0.214 x4
Si 0.158 0.500 0.973 x4
Cl 0.219 0.000 0.652 x4

=====

Entry 3:
Below is a relaxed structure of Na2ScAs2O6, with properties calculated at the GGA-PBE level.

magnetic moment = 1.0 μB/f.u.
formation energy from raw total energies = -1.844 eV/atom
E = -136.60 eV/cell

abc: 8.964 5.774 6.585
angles: 90.00 116.05 90.00
Space group C2/m (No. 12)
Asymmetric unit:
Na 0.201 0.000 0.140 x4
Sc 0.000 0.000 0.500 x2
As 0.065 0.500 0.231 x4
O 0.054 0.257 0.760 x8
O 0.245 0.000 0.528 x4

=====

Entry 4:
Below is a relaxed structure of PdSe2I, with properties calculated at the GGA-PBE level.

magnetic moment = 0.0 μB/f.u.
offset from the most stable computed form = 1.6 kJ per mole of atoms
formation energy from raw total energies = -0.171 eV/atom
E = -28.79 eV/cell

abc: 5.866 6.149 9.310
angles: 88.66 75.27 61.73
Space group P1 (No. 1)
Asymmetric unit:
Pd 0.000 0.000 0.000 x1
Pd 0.393 0.379 0.800 x1
Se 0.103 0.201 0.782 x1
Se 0.456 0.816 0.027 x1
Se 0.520 0.178 0.018 x1
Se 0.687 0.563 0.771 x1
I 0.297 0.595 0.556 x1
I 0.923 0.781 0.243 x1

=====

Entry 5:
Below is a relaxed structure of Rb2UCl5F, with properties calculated at the GGA-PBE level.

magnetic moment = 2.0 μB/f.u.
formation energy from raw total energies = -2.123 eV/atom
E = -86.87 eV/cell

abc: 7.665 7.665 10.048
angles: 90.00 90.00 90.00
Space group I4mm (No. 107)
Asymmetric unit:
Rb 0.000 0.500 0.000 x4
U 0.000 0.000 0.249 x2
Cl 0.000 0.000 0.508 x2
Cl 0.245 0.245 0.252 x8
F 0.000 0.000 0.042 x2

=====

Entry 6:
Below is a relaxed structure of Rb2PmSmS4, with properties calculated at the GGA-PBE level.

magnetic moment = 0.0 μB/f.u.
formation energy from raw total energies = -1.836 eV/atom
E = -42.60 eV/cell

abc: 7.245 4.182 8.082
angles: 90.00 107.36 90.00
Space group P2/m (No. 10)
Asymmetric unit:
Rb 0.000 0.000 0.000 x1
Rb 0.500 0.500 0.000 x1
Pm 0.000 0.500 0.500 x1
Sm 0.500 0.000 0.500 x1
S 0.233 0.000 0.696 x2
S 0.269 0.500 0.304 x2

=====

Entry 7:
Below is a relaxed structure of Pr6Ga2Pb, with properties calculated at the GGA-PBE level.

magnetic moment = 0.0 μB/f.u.
offset from the most stable computed form = 12.7 kJ per mole of atoms
E = -81.68 eV/cell

abc: 6.491 8.929 11.205
angles: 90.00 118.47 90.00
Space group P2_1/c (No. 14)
Asymmetric unit:
Pr 0.059 0.154 0.431 x4
Pr 0.353 0.689 0.439 x4
Pr 0.431 0.042 0.293 x4
Ga 0.191 0.127 0.756 x4
Pb 0.000 0.000 0.000 x2

=====

Entry 8:
Below is a relaxed structure of CsMnCdPb2, with properties calculated at the GGA-PBE level.

magnetic moment = 3.5 μB/f.u.
E = -9.58 eV/cell

abc: 5.788 5.788 5.010
angles: 90.00 90.00 90.00
Space group P4/mmm (No. 123)
Asymmetric unit:
Cs 0.000 0.000 0.000 x1
Mn 0.000 0.000 0.500 x1
Cd 0.500 0.500 0.500 x1
Pb 0.000 0.500 0.000 x2

=====

Entry 9:
Below is a relaxed structure of Ni5Ag4, with properties calculated at the GGA-PBE level.

magnetic moment = 1.9 μB/f.u.
offset from the most stable computed form = 13.0 kJ per mole of atoms
E = -73.55 eV/cell

abc: 7.5408 7.5408 5.2144
angles: 90.00 90.00 120.00
Space group P6_3/mcm (No. 193)
Asymmetric unit:
Ni 0.0000 0.3365 0.2500 x6
Ni 0.3333 0.6667 0.0000 x4
Ag 0.0000 0.0000 0.0000 x2
Ag 0.0000 0.3391 0.7500 x6

=====

Entry 10:
Below is a relaxed structure of SrC3, with properties calculated at the GGA-PBE level.

magnetic moment = 0.0 μB/f.u.
offset from the most stable computed form = 107.8 kJ per mole of atoms
E = -22.54 eV/cell

abc: 3.6956 3.6956 5.1866
angles: 90.00 90.00 120.00
Space group P-6m2 (No. 187)
Asymmetric unit:
Sr 0.0000 0.0000 0.0000 x1
C 0.0000 0.0000 0.5000 x1
C 0.3333 0.6667 0.3712 x2

=====

Entry 11:
Below is a relaxed structure of AcHoCu2, with properties calculated at the GGA-PBE level.

magnetic moment = 0.0 μB/f.u.
offset from the most stable computed form = 5.2 kJ per mole of atoms
E = -69.24 eV/cell

abc: 7.286 7.286 7.286
angles: 90.00 90.00 90.00
Space group Fm-3m (No. 225)
Asymmetric unit:
Ac 0.000 0.000 0.000 x4
Ho 0.000 0.000 0.500 x4
Cu 0.250 0.250 0.250 x8

=====

Entry 12:
Below is a relaxed structure of Mg2HgGe2, with properties calculated at the GGA-PBE level.

magnetic moment = 0.0 μB/f.u.
offset from the most stable computed form = 3.2 kJ per mole of atoms
E = -25.54 eV/cell

abc: 8.439 8.439 3.019
angles: 90.00 90.00 90.00
Space group P4/mbm (No. 127)
Asymmetric unit:
Mg 0.169 0.331 0.000 x4
Hg 0.000 0.000 0.000 x2
Ge 0.124 0.624 0.500 x4

=====

Q: Number 11 is which compound?
A: AcHoCu2